# 1
Below is a relaxed Np2HN crystal, with properties calculated at the PBE-GGA level.

Calculated values
The calculation puts the magnetization at 9.6 μB/f.u. The calculation puts the final energy at -9.42 eV per atom.

Cell: 3.051 3.051 6.132 Å, 90.00 90.00 90.00°
Atoms (fractional coordinates):
Np1 0.000 0.000 0.766
Np2 0.000 0.000 0.234
H1 0.500 0.500 0.500
N1 0.500 0.500 0.000



# 2
Below is a relaxed PmNpHN2 crystal, with properties calculated at the PBE-GGA level.

Calculated values
The calculation puts the magnetization at 2.8 μB/f.u. The calculation puts the final energy at -8.66 eV per atom.

Cell: 3.493 3.493 10.962 Å, 90.00 90.00 90.00°
Atoms (fractional coordinates):
Pm1 0.500 0.000 0.643
Pm2 0.000 0.500 0.357
Np1 0.500 0.000 0.110
Np2 0.000 0.500 0.890
H1 0.000 0.000 0.500
H2 0.500 0.500 0.500
N1 0.000 0.500 0.705
N2 0.000 0.500 0.108
N3 0.500 0.000 0.892
N4 0.500 0.000 0.295